(1)
Li2PuSbS4: optimized geometry, GGA-PBE.

a = 6.5847 Å, b = 3.9456 Å, c = 6.8696 Å
α = 90.00°, β = 110.74°, γ = 90.00°
Sites, in units of the cell vectors:
Li  0.0000  0.0000  0.0000
Li  0.0000  0.5000  0.5000
Pu  0.5000  0.0000  0.5000
Sb  0.5000  0.5000  0.0000
S  0.2438  0.0000  0.7474
S  0.2489  0.5000  0.2483
S  0.7511  0.5000  0.7517
S  0.7562  0.0000  0.2526

Computed properties:
Density (g/cm3): 5.1
Space-group type: P2/m, No. 10
Raw formation energy (meV per atom): -1082

---

(2)
Dy4ZnNi: optimized geometry, GGA-PBE.

a = 4.8077 Å, b = 4.8077 Å, c = 6.9522 Å
α = 90.07°, β = 90.07°, γ = 90.00°
Sites, in units of the cell vectors:
Dy  0.9997  0.4993  0.2367
Dy  0.0003  0.5007  0.7633
Dy  0.4993  0.9997  0.2367
Dy  0.5007  0.0003  0.7633
Zn  0.0000  0.0000  0.5000
Ni  0.5000  0.5000  0.0000

Computed properties:
Energy relative to the elements (eV/atom): -0.059
Density (g/cm3): 8.0
Distance to the lowest polymorph of the same formula (meV/atom): 218
Space-group type: C2/m, No. 12

---

(3)
P2RuSe: optimized geometry, GGA-PBE.

a = 3.1217 Å, b = 3.1217 Å, c = 7.0362 Å
α = 90.00°, β = 90.00°, γ = 90.00°
Sites, in units of the cell vectors:
P  0.0000  0.0000  0.0000
P  0.5000  0.5000  0.1244
Ru  0.0000  0.0000  0.3525
Se  0.5000  0.5000  0.5585

Computed properties:
Density (g/cm3): 5.9
Space-group type: P4mm, No. 99
Raw formation energy (meV per atom): 177

---

(4)
LiCeCdBi: optimized geometry, GGA-PBE.

a = 5.3068 Å, b = 5.3068 Å, c = 5.3068 Å
α = 60.00°, β = 60.00°, γ = 60.00°
Sites, in units of the cell vectors:
Li  0.0000  0.0000  0.0000
Ce  0.5000  0.5000  0.5000
Cd  0.7500  0.7500  0.7500
Bi  0.2500  0.2500  0.2500

Computed properties:
Energy relative to the elements (eV/atom): -0.362
Density (g/cm3): 7.4
Space-group type: F-43m, No. 216

---

(5)
NdGa3CoNi: optimized geometry, GGA-PBE.

a = 6.3493 Å, b = 6.3493 Å, c = 6.0281 Å
α = 90.00°, β = 90.00°, γ = 112.60°
Sites, in units of the cell vectors:
Nd  0.2477  0.7523  0.7500
Nd  0.7523  0.2477  0.2500
Ga  0.2487  0.7513  0.2500
Ga  0.2497  0.2497  0.0000
Ga  0.2497  0.2497  0.5000
Ga  0.7503  0.7503  0.0000
Ga  0.7503  0.7503  0.5000
Ga  0.7513  0.2487  0.7500
Co  0.0374  0.9626  0.2500
Co  0.9626  0.0374  0.7500
Ni  0.4619  0.5381  0.2500
Ni  0.5381  0.4619  0.7500

Computed properties:
Energy relative to the elements (eV/atom): -0.305
Density (g/cm3): 7.0
Space-group type: Cmcm, No. 63

---

(6)
LiAcAg3: optimized geometry, GGA-PBE.

a = 13.5653 Å, b = 13.5653 Å, c = 4.7483 Å
α = 90.00°, β = 90.00°, γ = 163.72°
Sites, in units of the cell vectors:
Li  0.2093  0.7907  0.7500
Li  0.7907  0.2093  0.2500
Ac  0.0812  0.9188  0.2500
Ac  0.9188  0.0812  0.7500
Ag  0.3104  0.6896  0.7500
Ag  0.3660  0.6340  0.2500
Ag  0.4724  0.5276  0.2500
Ag  0.5276  0.4724  0.7500
Ag  0.6340  0.3660  0.7500
Ag  0.6896  0.3104  0.2500

Computed properties:
Energy relative to the elements (eV/atom): -0.182
Density (g/cm3): 7.6
Distance to the lowest polymorph of the same formula (meV/atom): 0
Space-group type: Cmcm, No. 63

---

(7)
PuCIN2: optimized geometry, GGA-PBE.

a = 5.4772 Å, b = 4.0088 Å, c = 8.0632 Å
α = 90.00°, β = 99.54°, γ = 90.00°
Sites, in units of the cell vectors:
Pu  0.1731  0.2500  0.2062
Pu  0.8269  0.7500  0.7938
C  0.3521  0.2500  0.8687
C  0.6479  0.7500  0.1313
I  0.2614  0.7500  0.5507
I  0.7386  0.2500  0.4493
N  0.1304  0.2500  0.8905
N  0.4303  0.7500  0.1499
N  0.5697  0.2500  0.8501
N  0.8696  0.7500  0.1095

Computed properties:
Density (g/cm3): 7.8
Space-group type: P2_1/m, No. 11
Raw formation energy (meV per atom): -591

---

(8)
DyLu2Mg: optimized geometry, GGA-PBE.

a = 5.4308 Å, b = 5.4308 Å, c = 5.4308 Å
α = 60.00°, β = 60.00°, γ = 60.00°
Sites, in units of the cell vectors:
Dy  0.0000  0.0000  0.0000
Lu  0.2500  0.2500  0.2500
Lu  0.7500  0.7500  0.7500
Mg  0.5000  0.5000  0.5000

Computed properties:
Energy relative to the elements (eV/atom): 0.089
Density (g/cm3): 7.9
Distance to the lowest polymorph of the same formula (meV/atom): 109
Space-group type: Fm-3m, No. 225

---

(9)
Ti3ZnP: optimized geometry, GGA-PBE.

a = 4.5293 Å, b = 4.5293 Å, c = 4.5293 Å
α = 90.00°, β = 90.00°, γ = 90.00°
Sites, in units of the cell vectors:
Ti  0.0000  0.0000  0.5000
Ti  0.0000  0.5000  0.0000
Ti  0.5000  0.0000  0.0000
Zn  0.5000  0.5000  0.5000
P  0.0000  0.0000  0.0000

Computed properties:
Energy relative to the elements (eV/atom): -0.201
Density (g/cm3): 4.3
Distance to the lowest polymorph of the same formula (meV/atom): 0
Space-group type: Pm-3m, No. 221

---

(10)
LiSi2Se: optimized geometry, GGA-PBE.

a = 3.5944 Å, b = 3.5944 Å, c = 5.1791 Å
α = 90.00°, β = 90.00°, γ = 90.00°
Sites, in units of the cell vectors:
Li  0.0000  0.0000  0.0000
Si  0.0000  0.5000  0.5000
Si  0.5000  0.0000  0.5000
Se  0.5000  0.5000  0.0000

Computed properties:
Density (g/cm3): 3.5
Space-group type: P4/mmm, No. 123
Raw formation energy (meV per atom): -6

---

(11)
Dy3Y5In2: optimized geometry, GGA-PBE.

a = 10.6255 Å, b = 10.6255 Å, c = 10.6255 Å
α = 105.76°, β = 84.67°, γ = 145.21°
Sites, in units of the cell vectors:
Dy  0.2233  0.1102  0.3335
Dy  0.2500  0.2500  0.0000
Dy  0.2767  0.6102  0.8869
Dy  0.7233  0.3898  0.1131
Dy  0.7500  0.7500  0.0000
Dy  0.7767  0.8898  0.6665
Y  0.1663  0.3777  0.5440
Y  0.2500  0.0002  0.7502
Y  0.2500  0.4998  0.2498
Y  0.2500  0.7500  0.5000
Y  0.3337  0.8777  0.2114
Y  0.6663  0.1223  0.7886
Y  0.7500  0.9998  0.2498
Y  0.7500  0.2500  0.5000
Y  0.7500  0.5002  0.7502
Y  0.8337  0.6223  0.4560
In  0.1454  0.8660  0.0114
In  0.3546  0.3660  0.7207
In  0.6454  0.6340  0.2793
In  0.8546  0.1340  0.9886

Computed properties:
Energy relative to the elements (eV/atom): 0.107
Density (g/cm3): 6.0
Space-group type: Ibam, No. 72

---

(12)
Al2TlOs: optimized geometry, GGA-PBE.

a = 4.6466 Å, b = 4.6466 Å, c = 3.2063 Å
α = 90.00°, β = 90.00°, γ = 104.20°
Sites, in units of the cell vectors:
Al  0.0000  0.5000  0.0000
Al  0.5000  0.0000  0.0000
Tl  0.0000  0.0000  0.5000
Os  0.5000  0.5000  0.5000

Computed properties:
Energy relative to the elements (eV/atom): 0.377
Density (g/cm3): 11.1
Distance to the lowest polymorph of the same formula (meV/atom): 462
Space-group type: Cmmm, No. 65

---

Number 1: VASP energy -5.931 eV/atom. Number 2: VASP energy -4.303 eV/atom. Number 3: VASP energy -5.718 eV/atom. Number 4: VASP energy -3.523 eV/atom. Number 5: VASP energy -4.761 eV/atom. Number 6: VASP energy -3.097 eV/atom. Number 7: VASP energy -8.942 eV/atom. Number 8: VASP energy -3.721 eV/atom. Number 9: VASP energy -6.274 eV/atom. Number 10: VASP energy -4.067 eV/atom. Number 11: VASP energy -5.053 eV/atom. Number 12: VASP energy -4.893 eV/atom.